Record 1
{"formula": "Pm3Zn2Rh", "functional": "PBE", "state": "optimized geometry", "energy_ev_per_atom": -4.466, "relative_energy_mev_per_atom": 3.7, "density_g_cm3": 7.4, "ef_ev_per_atom": -0.4411, "cell": [[12.3461, 0.0000, 0.0000], [0.0000, 4.5402, 0.0000], [0.0000, 0.0000, 10.6587]], "species": ["Pm", "Pm", "Pm", "Pm", "Pm", "Pm", "Pm", "Pm", "Pm", "Pm", "Pm", "Pm", "Zn", "Zn", "Zn", "Zn", "Zn", "Zn", "Zn", "Zn", "Rh", "Rh", "Rh", "Rh"], "frac_coords": [[0.0565, 0.2500, 0.1111], [0.1093, 0.7500, 0.5600], [0.2371, 0.2500, 0.7890], [0.2629, 0.7500, 0.2890], [0.3907, 0.2500, 0.0600], [0.4435, 0.7500, 0.6111], [0.5565, 0.2500, 0.3889], [0.6093, 0.7500, 0.9400], [0.7371, 0.2500, 0.7110], [0.7629, 0.7500, 0.2110], [0.8907, 0.2500, 0.4400], [0.9435, 0.7500, 0.8889], [0.0094, 0.7500, 0.2925], [0.2021, 0.7500, 0.9945], [0.2979, 0.2500, 0.4945], [0.4906, 0.2500, 0.7925], [0.5094, 0.7500, 0.2075], [0.7021, 0.7500, 0.5055], [0.7979, 0.2500, 0.0055], [0.9906, 0.2500, 0.7075], [0.1166, 0.2500, 0.3665], [0.3834, 0.7500, 0.8665], [0.6166, 0.2500, 0.1335], [0.8834, 0.7500, 0.6335]]}

Record 2
{"formula": "PmZnRh2", "functional": "PBE", "state": "optimized geometry", "energy_ev_per_atom": -5.190, "density_g_cm3": 7.8, "ef_ev_per_atom": -0.0084, "cell": [[5.8227, 0.0000, 0.0000], [0.0000, 7.4199, 0.0000], [0.0000, 0.0000, 8.2460]], "species": ["Pm", "Pm", "Pm", "Pm", "Zn", "Zn", "Zn", "Zn", "Rh", "Rh", "Rh", "Rh", "Rh", "Rh", "Rh", "Rh"], "frac_coords": [[0.2500, 0.0000, 0.1947], [0.2500, 0.5000, 0.2844], [0.7500, 0.0000, 0.8053], [0.7500, 0.5000, 0.7156], [0.2500, 0.0000, 0.7629], [0.2500, 0.5000, 0.7659], [0.7500, 0.0000, 0.2371], [0.7500, 0.5000, 0.2341], [0.0000, 0.0000, 0.5000], [0.0000, 0.5000, 0.0000], [0.2500, 0.2896, 0.5390], [0.2500, 0.7104, 0.5390], [0.5000, 0.0000, 0.5000], [0.5000, 0.5000, 0.0000], [0.7500, 0.2896, 0.4610], [0.7500, 0.7104, 0.4610]]}

Record 3
{"formula": "Pm2Zn3Rh", "functional": "PBE", "state": "optimized geometry", "energy_ev_per_atom": -3.928, "relative_energy_mev_per_atom": 10.1, "density_g_cm3": 7.6, "ef_ev_per_atom": -0.4822, "cell": [[3.7266, 0.0000, 0.0000], [0.0000, 4.4296, 0.0000], [0.0000, 0.0000, 7.7653]], "species": ["Pm", "Pm", "Zn", "Zn", "Zn", "Rh"], "frac_coords": [[0.0000, 0.0000, 0.0000], [0.0000, 0.5000, 0.4498], [0.5000, 0.0000, 0.6420], [0.5000, 0.5000, 0.1325], [0.5000, 0.5000, 0.8036], [0.5000, 0.0000, 0.3062]]}

Record 4
{"formula": "Pm3Zn9Rh2", "functional": "PBE", "state": "optimized geometry", "energy_ev_per_atom": -3.311, "density_g_cm3": 7.9, "ef_ev_per_atom": -0.4236, "cell": [[-2.1837, 4.5888, 6.4232], [2.1837, -4.5888, 6.4232], [2.1837, 4.5888, -6.4232]], "species": ["Pm", "Pm", "Pm", "Zn", "Zn", "Zn", "Zn", "Zn", "Zn", "Zn", "Zn", "Zn", "Rh", "Rh"], "frac_coords": [[0.0000, 0.0000, 0.0000], [0.3072, 0.3072, 0.0000], [0.6928, 0.6928, 0.0000], [0.0215, 0.6626, 0.3588], [0.1549, 0.8744, 0.2806], [0.3038, 0.6626, 0.6412], [0.4062, 0.1256, 0.2806], [0.5000, 0.0000, 0.5000], [0.5938, 0.8744, 0.7194], [0.6962, 0.3374, 0.3588], [0.8451, 0.1256, 0.7194], [0.9785, 0.3374, 0.6412], [0.3123, 0.5000, 0.8123], [0.6877, 0.5000, 0.1877]]}

Record 5
{"formula": "Pm4ZnRh", "functional": "PBE", "state": "optimized geometry", "energy_ev_per_atom": -5.005, "relative_energy_mev_per_atom": 0.0, "density_g_cm3": 7.6, "ef_ev_per_atom": -0.4002, "cell": [[0.0000, 6.8866, 6.8866], [6.8866, 0.0000, 6.8866], [6.8866, 6.8866, 0.0000]], "species": ["Pm", "Pm", "Pm", "Pm", "Pm", "Pm", "Pm", "Pm", "Pm", "Pm", "Pm", "Pm", "Pm", "Pm", "Pm", "Pm", "Zn", "Zn", "Zn", "Zn", "Rh", "Rh", "Rh", "Rh"], "frac_coords": [[0.1868, 0.1868, 0.8132], [0.1868, 0.8132, 0.1868], [0.1868, 0.8132, 0.8132], [0.3973, 0.3973, 0.3973], [0.3973, 0.3973, 0.8082], [0.3973, 0.8082, 0.3973], [0.5579, 0.5579, 0.9421], [0.5579, 0.9421, 0.5579], [0.5579, 0.9421, 0.9421], [0.8082, 0.3973, 0.3973], [0.8132, 0.1868, 0.1868], [0.8132, 0.1868, 0.8132], [0.8132, 0.8132, 0.1868], [0.9421, 0.5579, 0.5579], [0.9421, 0.5579, 0.9421], [0.9421, 0.9421, 0.5579], [0.1714, 0.1714, 0.1714], [0.1714, 0.1714, 0.4858], [0.1714, 0.4858, 0.1714], [0.4858, 0.1714, 0.1714], [0.1784, 0.6072, 0.6072], [0.6072, 0.1784, 0.6072], [0.6072, 0.6072, 0.1784], [0.6072, 0.6072, 0.6072]]}

Record 6
{"formula": "PmZnRh", "functional": "PBE", "state": "optimized geometry", "energy_ev_per_atom": -4.917, "relative_energy_mev_per_atom": 213.5, "density_g_cm3": 7.6, "ef_ev_per_atom": -0.4580, "cell": [[6.4983, 0.0000, 0.0000], [0.0000, 6.4983, 0.0000], [0.0000, 0.0000, 6.4983]], "species": ["Pm", "Pm", "Pm", "Pm", "Zn", "Zn", "Zn", "Zn", "Rh", "Rh", "Rh", "Rh"], "frac_coords": [[0.0000, 0.0000, 0.0000], [0.0000, 0.5000, 0.5000], [0.5000, 0.0000, 0.5000], [0.5000, 0.5000, 0.0000], [0.0000, 0.0000, 0.5000], [0.0000, 0.5000, 0.0000], [0.5000, 0.0000, 0.0000], [0.5000, 0.5000, 0.5000], [0.2500, 0.2500, 0.7500], [0.2500, 0.7500, 0.2500], [0.7500, 0.2500, 0.2500], [0.7500, 0.7500, 0.7500]]}

Record 7
{"formula": "Pm2Zn3Rh2", "functional": "PBE", "state": "optimized geometry", "energy_ev_per_atom": -4.599, "density_g_cm3": 8.4, "ef_ev_per_atom": -0.5956, "cell": [[9.9217, 0.0000, 0.0000], [0.0000, 4.1409, 0.0000], [-2.7373, 0.0000, 6.6582]], "species": ["Pm", "Pm", "Pm", "Pm", "Zn", "Zn", "Zn", "Zn", "Zn", "Zn", "Rh", "Rh", "Rh", "Rh"], "frac_coords": [[0.1430, 0.0000, 0.2670], [0.3570, 0.5000, 0.7330], [0.6430, 0.5000, 0.2670], [0.8570, 0.0000, 0.7330], [0.0000, 0.5000, 0.5000], [0.1386, 0.5000, 0.9415], [0.3614, 0.0000, 0.0585], [0.5000, 0.0000, 0.5000], [0.6386, 0.0000, 0.9415], [0.8614, 0.5000, 0.0585], [0.1367, 0.0000, 0.6953], [0.3633, 0.5000, 0.3047], [0.6367, 0.5000, 0.6953], [0.8633, 0.0000, 0.3047]]}

Record 8
{"formula": "Pm2Zn2Rh", "functional": "PBE", "state": "optimized geometry", "energy_ev_per_atom": -4.382, "relative_energy_mev_per_atom": 11.9, "density_g_cm3": 7.5, "ef_ev_per_atom": -0.5020, "cell": [[5.5600, -1.9907, 0.0000], [5.5600, 1.9907, 0.0000], [-5.1591, 0.0000, 10.4262]], "species": ["Pm", "Pm", "Pm", "Pm", "Zn", "Zn", "Zn", "Zn", "Rh", "Rh"], "frac_coords": [[0.0652, 0.0652, 0.3575], [0.2064, 0.2064, 0.1187], [0.7936, 0.7936, 0.8813], [0.9348, 0.9348, 0.6425], [0.3769, 0.3769, 0.4178], [0.4861, 0.4861, 0.1129], [0.5139, 0.5139, 0.8871], [0.6231, 0.6231, 0.5822], [0.2748, 0.2748, 0.6927], [0.7252, 0.7252, 0.3073]]}

Record 9
{"formula": "Pm4Zn3Rh", "functional": "PBE", "state": "optimized geometry", "energy_ev_per_atom": -4.175, "relative_energy_mev_per_atom": 11.4, "density_g_cm3": 7.4, "ef_ev_per_atom": -0.4026, "cell": [[3.9003, 0.0000, 0.0000], [0.0000, 4.5703, 0.0000], [0.0000, 0.0000, 11.0603]], "species": ["Pm", "Pm", "Pm", "Pm", "Zn", "Zn", "Zn", "Rh"], "frac_coords": [[0.0000, 0.0000, 0.0000], [0.0000, 0.5000, 0.2691], [0.5000, 0.0000, 0.4705], [0.5000, 0.5000, 0.7784], [0.0000, 0.0000, 0.6965], [0.0000, 0.5000, 0.5561], [0.5000, 0.5000, 0.0592], [0.5000, 0.0000, 0.2017]]}

Record 10
{"formula": "PmZn6Rh2", "functional": "PBE", "state": "optimized geometry", "energy_ev_per_atom": -3.225, "density_g_cm3": 8.0, "ef_ev_per_atom": -0.2145, "cell": [[-1.8179, 3.4849, 6.0894], [1.8179, -3.4849, 6.0894], [1.8179, 3.4849, -6.0894]], "species": ["Pm", "Zn", "Zn", "Zn", "Zn", "Zn", "Zn", "Rh", "Rh"], "frac_coords": [[0.0000, 0.0000, 0.0000], [0.0115, 0.3150, 0.6965], [0.3330, 0.5000, 0.8330], [0.3815, 0.6850, 0.6965], [0.6185, 0.3150, 0.3035], [0.6670, 0.5000, 0.1670], [0.9885, 0.6850, 0.3035], [0.3683, 0.8683, 0.5000], [0.6317, 0.1317, 0.5000]]}

Record 11
{"formula": "PmZnRh", "functional": "PBE", "state": "optimized geometry", "energy_ev_per_atom": -5.130, "relative_energy_mev_per_atom": 0.0, "density_g_cm3": 8.7, "ef_ev_per_atom": -0.6715, "cell": [[7.0806, 0.0000, 0.0000], [0.0000, 4.1344, 0.0000], [0.0000, 0.0000, 8.2006]], "species": ["Pm", "Pm", "Pm", "Pm", "Zn", "Zn", "Zn", "Zn", "Rh", "Rh", "Rh", "Rh"], "frac_coords": [[0.0365, 0.2500, 0.1874], [0.4635, 0.7500, 0.6874], [0.5365, 0.2500, 0.3126], [0.9635, 0.7500, 0.8126], [0.1398, 0.2500, 0.5649], [0.3602, 0.7500, 0.0649], [0.6398, 0.2500, 0.9351], [0.8602, 0.7500, 0.4351], [0.2399, 0.7500, 0.3812], [0.2601, 0.2500, 0.8812], [0.7399, 0.7500, 0.1188], [0.7601, 0.2500, 0.6188]]}

Record 12
{"formula": "Pm4ZnRh2", "functional": "PBE", "state": "optimized geometry", "energy_ev_per_atom": -5.501, "relative_energy_mev_per_atom": 3.4, "density_g_cm3": 7.9, "ef_ev_per_atom": -0.5036, "cell": [[7.0695, 0.0000, 0.0000], [-1.9139, 6.8908, 0.0000], [-2.5742, -3.4416, 7.3595]], "species": ["Pm", "Pm", "Pm", "Pm", "Pm", "Pm", "Pm", "Pm", "Zn", "Zn", "Rh", "Rh", "Rh", "Rh"], "frac_coords": [[0.0000, 0.0000, 0.0000], [0.0356, 0.5373, 0.0748], [0.1387, 0.3338, 0.4787], [0.4233, 0.2930, 0.9002], [0.5212, 0.8663, 0.6051], [0.5614, 0.9288, 0.1749], [0.6967, 0.3919, 0.5949], [0.9547, 0.7993, 0.4714], [0.2136, 0.7190, 0.7982], [0.4536, 0.4619, 0.2771], [0.2652, 0.9958, 0.3493], [0.5881, 0.6568, 0.8508], [0.7735, 0.3434, 0.2242], [0.9534, 0.1848, 0.7258]]}